No. 1
The following is a DFT calculation (PBE) of a relaxed structure of Be5CrSi2.

- SG: P1, No. 1
- Final energy: -38.32 eV per formula unit
- Density of states at the Fermi level: 0.354 states/eV per atom
- M_tot: 0.0 μB per formula unit

abc: 4.509 5.876 6.227
angles: 59.68 43.70 45.73
Sites, in units of the cell vectors:
Be  0.472  0.430  0.535
Be  0.161  0.181  0.535
Be  0.466  0.630  0.794
Be  0.440  0.179  0.033
Be  0.987  0.629  0.274
Si  0.821  0.928  0.535
Si  0.689  0.659  0.035
Cr  0.965  0.142  0.035


No. 2
The following is a DFT calculation (PBE) of a relaxed structure of BaLiEu3.

- ΔE_f: 0.1730 eV per atom
- SG: Pm-3m, No. 221
- Final energy: -33.79 eV per formula unit
- Density of states at the Fermi level: 6.229 states/eV per atom
- M_tot: 23.7 μB per formula unit

abc: 6.113 6.113 6.113
angles: 90.00 90.00 90.00
Sites, in units of the cell vectors:
Ba  0.500  0.500  0.500
Eu  0.000  0.500  0.000
Eu  0.500  0.000  0.000
Eu  0.000  0.000  0.500
Li  0.000  0.000  0.000


No. 3
The following is a DFT calculation (PBE) of a relaxed structure of Zn2InCl.

- SG: Fm-3m, No. 225
- Final energy: -6.98 eV per formula unit
- Energy above the lowest structure with this stoichiometry: 237 meV/atom
- Density of states at the Fermi level: 0.113 states/eV per atom
- M_tot: 0.0 μB per formula unit

abc: 5.105 5.105 5.105
angles: 60.00 60.00 60.00
Sites, in units of the cell vectors:
Zn  0.750  0.750  0.750
Zn  0.250  0.250  0.250
In  0.500  0.500  0.500
Cl  0.000  0.000  0.000


No. 4
The following is a DFT calculation (PBE) of a relaxed structure of Zr2AlTe2.

- SG: P4/mbm, No. 127
- Final energy: -29.46 eV per formula unit
- Energy above the lowest structure with this stoichiometry: 0 meV/atom
- Density of states at the Fermi level: 0.915 states/eV per atom
- M_tot: 0.0 μB per formula unit

abc: 7.919 7.919 3.768
angles: 90.00 90.00 90.00
Sites, in units of the cell vectors:
Te  0.647  0.853  0.500
Te  0.147  0.647  0.500
Te  0.353  0.147  0.500
Te  0.853  0.353  0.500
Al  0.000  0.000  0.000
Al  0.500  0.500  0.000
Zr  0.351  0.851  0.000
Zr  0.149  0.351  0.000
Zr  0.649  0.149  0.000
Zr  0.851  0.649  0.000


No. 5
The following is a DFT calculation (PBE) of a relaxed structure of K2CaFe.

- ΔE_f: 0.6091 eV per atom
- SG: Immm, No. 71
- Final energy: -10.22 eV per formula unit
- Energy above the lowest structure with this stoichiometry: 30 meV/atom
- Density of states at the Fermi level: 0.829 states/eV per atom
- M_tot: 2.5 μB per formula unit

abc: 10.632 10.632 4.751
angles: 77.08 77.08 19.91
Sites, in units of the cell vectors:
K  0.594  0.594  0.406
K  0.906  0.906  0.094
Ca  0.750  0.750  0.750
Fe  0.250  0.250  0.250


No. 6
The following is a DFT calculation (PBE) of a relaxed structure of ScMn2Al.

- ΔE_f: 0.0403 eV per atom
- SG: F-43m, No. 216
- Final energy: -28.25 eV per formula unit
- Density of states at the Fermi level: 1.516 states/eV per atom
- M_tot: 6.0 μB per formula unit

abc: 4.495 4.495 4.495
angles: 60.00 60.00 60.00
Sites, in units of the cell vectors:
Mn  0.000  0.000  0.000
Mn  0.250  0.250  0.250
Sc  0.750  0.750  0.750
Al  0.500  0.500  0.500


- What is the formula in the third record?
  Zn2InCl


- Number 2 is which compound?
  BaLiEu3


- What is the density of states at the Fermi level in the second record?
  6.229 states/eV per atom